A relaxed structure of Ba3PdO. Source: Alexandria via LeMat-Bulk, functional PBE.

Values from the calculation:
Space group = No. 15
Offset from the most stable computed form = 0.000 eV per atom
Final energy = -4.36 eV/atom

CIF file:
```
data_Ba3PdO
_chemical_formula_sum 'Ba12 Pd4 O4'
_cell_length_a 8.1344
_cell_length_b 9.9305
_cell_length_c 9.9305
_cell_angle_alpha 82.32
_cell_angle_beta 77.63
_cell_angle_gamma 77.63
_space_group_name_H-M_alt 'P 1'
_space_group_IT_number 1
loop_
_space_group_symop_operation_xyz
'x,y,z'
loop_
_atom_site_label
_atom_site_type_symbol
_atom_site_fract_x
_atom_site_fract_y
_atom_site_fract_z
O1 O 0.2663 0.3937 0.2054
O2 O 0.7337 0.6063 0.7946
O3 O 0.2337 0.7946 0.6063
O4 O 0.7663 0.2054 0.3937
Ba1 Ba 0.6410 0.7720 0.9845
Ba2 Ba 0.6212 0.1208 0.6272
Ba3 Ba 0.3590 0.2280 0.0155
Ba4 Ba 0.4746 0.6008 0.6824
Ba5 Ba 0.1212 0.6272 0.1208
Ba6 Ba 0.1410 0.9845 0.7720
Ba7 Ba 0.5254 0.3992 0.3176
Ba8 Ba 0.3788 0.8792 0.3728
Ba9 Ba 0.0254 0.3176 0.3992
Ba10 Ba 0.8590 0.0155 0.2280
Ba11 Ba 0.8788 0.3728 0.8792
Ba12 Ba 0.9746 0.6824 0.6008
Pd1 Pd 0.7500 0.0768 0.9232
Pd2 Pd 0.7500 0.6664 0.3336
Pd3 Pd 0.2500 0.9232 0.0768
Pd4 Pd 0.2500 0.3336 0.6664
```